1.
Entry from Alexandria via LeMat-Bulk: a relaxed structure of Pm5Y4Tl2 (GGA-PBE).

The value obtained for the total DFT energy (no corrections) is -51.68 eV/cell. The formation energy comes out at 242 meV per atom. The density of states at the Fermi level is 1.426 states/eV/atom. For the volume, the calculation gives 34.9 A^3/atom.

Cell lengths 16.066, 16.066, 16.066 Å; angles 18.98, 18.98, 18.98 degrees
Sites, in units of the cell vectors:
Pm1 0.000 0.000 0.000
Pm2 0.148 0.148 0.148
Pm3 0.302 0.302 0.302
Pm4 0.698 0.698 0.698
Pm5 0.852 0.852 0.852
Y1 0.073 0.073 0.073
Y2 0.226 0.226 0.226
Y3 0.774 0.774 0.774
Y4 0.927 0.927 0.927
Tl1 0.389 0.389 0.389
Tl2 0.611 0.611 0.611

---

2.
Entry from Alexandria via LeMat-Bulk: a relaxed structure of PmY2Tl (GGA-PBE).

The value obtained for the total DFT energy (no corrections) is -80.72 eV/cell. The formation energy comes out at -34 meV per atom. The density of states at the Fermi level is 1.392 states/eV/atom. The value obtained for the offset from the most stable computed form is 164 meV per atom. For the volume, the calculation gives 29.7 A^3/atom.

Cell lengths 7.799, 7.799, 7.799 Å; angles 90.00, 90.00, 90.00 degrees
Sites, in units of the cell vectors:
Pm1 0.000 0.000 0.000
Pm2 0.000 0.500 0.500
Pm3 0.500 0.000 0.500
Pm4 0.500 0.500 0.000
Y1 0.250 0.250 0.250
Y2 0.250 0.250 0.750
Y3 0.250 0.750 0.250
Y4 0.250 0.750 0.750
Y5 0.750 0.250 0.250
Y6 0.750 0.250 0.750
Y7 0.750 0.750 0.250
Y8 0.750 0.750 0.750
Tl1 0.000 0.000 0.500
Tl2 0.000 0.500 0.000
Tl3 0.500 0.000 0.000
Tl4 0.500 0.500 0.500

---

3.
Entry from Alexandria via LeMat-Bulk: a relaxed structure of Pm4YTl2 (GGA-PBE).

The value obtained for the total DFT energy (no corrections) is -29.98 eV/cell. The formation energy comes out at 32 meV per atom. The density of states at the Fermi level is 1.770 states/eV/atom. The value obtained for the offset from the most stable computed form is 0 meV per atom. For the volume, the calculation gives 34.7 A^3/atom.

Cell lengths 9.527, 9.527, 9.527 Å; angles 34.14, 34.14, 34.14 degrees
Sites, in units of the cell vectors:
Pm1 0.130 0.130 0.130
Pm2 0.267 0.267 0.267
Pm3 0.733 0.733 0.733
Pm4 0.870 0.870 0.870
Y1 0.500 0.500 0.500
Tl1 0.385 0.385 0.385
Tl2 0.615 0.615 0.615

---

4.
Entry from Alexandria via LeMat-Bulk: a relaxed structure of Pm5YTl8 (GGA-PBE).

The value obtained for the total DFT energy (no corrections) is -53.23 eV/cell. The formation energy comes out at -292 meV per atom. The density of states at the Fermi level is 0.935 states/eV/atom. For the volume, the calculation gives 30.0 A^3/atom.

Cell lengths 8.170, 8.170, 8.170 Å; angles 109.16, 109.16, 110.10 degrees
Sites, in units of the cell vectors:
Pm1 0.000 0.000 0.000
Pm2 0.252 0.620 0.125
Pm3 0.380 0.505 0.632
Pm4 0.495 0.127 0.875
Pm5 0.873 0.748 0.368
Y1 0.750 0.250 0.500
Tl1 0.116 0.206 0.741
Tl2 0.117 0.705 0.746
Tl3 0.295 0.041 0.412
Tl4 0.464 0.375 0.259
Tl5 0.625 0.884 0.089
Tl6 0.629 0.883 0.588
Tl7 0.794 0.536 0.911
Tl8 0.959 0.371 0.254

---

5.
Entry from Alexandria via LeMat-Bulk: a relaxed structure of Pm2YTl9 (GGA-PBE).

The value obtained for the total DFT energy (no corrections) is -40.73 eV/cell. The formation energy comes out at -289 meV per atom. The density of states at the Fermi level is 0.351 states/eV/atom. For the volume, the calculation gives 27.7 A^3/atom.

Cell lengths 4.804, 4.804, 14.412 Å; angles 90.00, 90.00, 90.00 degrees
Sites, in units of the cell vectors:
Pm1 0.000 0.000 0.167
Pm2 0.000 0.000 0.833
Y1 0.000 0.000 0.500
Tl1 0.000 0.500 0.000
Tl2 0.000 0.500 0.335
Tl3 0.000 0.500 0.665
Tl4 0.500 0.000 0.000
Tl5 0.500 0.000 0.335
Tl6 0.500 0.000 0.665
Tl7 0.500 0.500 0.167
Tl8 0.500 0.500 0.500
Tl9 0.500 0.500 0.833

---

6.
Entry from Alexandria via LeMat-Bulk: a relaxed structure of PmY6Tl (GGA-PBE).

The value obtained for the total DFT energy (no corrections) is -45.86 eV/cell. The formation energy comes out at 5 meV per atom. The density of states at the Fermi level is 1.374 states/eV/atom. The value obtained for the offset from the most stable computed form is 77 meV per atom. For the volume, the calculation gives 31.9 A^3/atom.

Cell lengths 6.363, 6.363, 6.363 Å; angles 94.34, 94.34, 94.34 degrees
Sites, in units of the cell vectors:
Pm1 0.000 0.000 0.000
Y1 0.047 0.259 0.537
Y2 0.259 0.537 0.047
Y3 0.463 0.953 0.741
Y4 0.537 0.047 0.259
Y5 0.741 0.463 0.953
Y6 0.953 0.741 0.463
Tl1 0.500 0.500 0.500

---

7.
Entry from Alexandria via LeMat-Bulk: a relaxed structure of Pm5Y8Tl (GGA-PBE).

The value obtained for the total DFT energy (no corrections) is -76.03 eV/cell. The formation energy comes out at 129 meV per atom. The density of states at the Fermi level is 1.459 states/eV/atom. For the volume, the calculation gives 33.8 A^3/atom.

Cell lengths 8.604, 8.604, 8.604 Å; angles 103.68, 103.68, 121.81 degrees
Sites, in units of the cell vectors:
Pm1 0.000 0.000 0.000
Pm2 0.392 0.586 0.804
Pm3 0.412 0.608 0.194
Pm4 0.414 0.218 0.806
Pm5 0.782 0.588 0.196
Y1 0.080 0.740 0.660
Y2 0.081 0.420 0.340
Y3 0.260 0.919 0.340
Y4 0.540 0.458 0.498
Y5 0.542 0.040 0.082
Y6 0.580 0.920 0.660
Y7 0.958 0.460 0.918
Y8 0.960 0.042 0.502
Tl1 0.750 0.250 0.500

---

8.
Entry from Alexandria via LeMat-Bulk: a relaxed structure of Pm3Y6Tl (GGA-PBE).

The value obtained for the total DFT energy (no corrections) is -111.05 eV/cell. The formation energy comes out at -12 meV per atom. The density of states at the Fermi level is 1.658 states/eV/atom. For the volume, the calculation gives 32.3 A^3/atom.

Cell lengths 11.468, 3.587, 15.703 Å; angles 90.00, 91.67, 90.00 degrees
Sites, in units of the cell vectors:
Pm1 0.108 0.250 0.156
Pm2 0.122 0.250 0.354
Pm3 0.381 0.250 0.657
Pm4 0.619 0.750 0.343
Pm5 0.878 0.750 0.646
Pm6 0.892 0.750 0.844
Y1 0.129 0.250 0.758
Y2 0.129 0.750 0.969
Y3 0.143 0.750 0.552
Y4 0.358 0.750 0.232
Y5 0.388 0.750 0.857
Y6 0.389 0.250 0.439
Y7 0.611 0.750 0.561
Y8 0.612 0.250 0.143
Y9 0.642 0.250 0.768
Y10 0.857 0.250 0.448
Y11 0.871 0.250 0.031
Y12 0.871 0.750 0.242
Tl1 0.357 0.250 0.046
Tl2 0.643 0.750 0.954

---

9.
Entry from Alexandria via LeMat-Bulk: a relaxed structure of PmY2Tl (GGA-PBE).

The value obtained for the total DFT energy (no corrections) is -20.81 eV/cell. The formation energy comes out at -191 meV per atom. The density of states at the Fermi level is 1.066 states/eV/atom. The value obtained for the offset from the most stable computed form is 7 meV per atom. For the volume, the calculation gives 30.7 A^3/atom.

Cell lengths 3.663, 3.663, 9.148 Å; angles 90.00, 90.00, 90.00 degrees
Sites, in units of the cell vectors:
Pm1 0.000 0.000 0.000
Y1 0.500 0.500 0.277
Y2 0.500 0.500 0.723
Tl1 0.000 0.000 0.500

---

10.
Entry from Alexandria via LeMat-Bulk: a relaxed structure of Pm3YTl3 (GGA-PBE).

The value obtained for the total DFT energy (no corrections) is -58.77 eV/cell. The formation energy comes out at -224 meV per atom. The density of states at the Fermi level is 0.835 states/eV/atom. The value obtained for the offset from the most stable computed form is 61 meV per atom. For the volume, the calculation gives 30.3 A^3/atom.

Cell lengths 9.617, 9.617, 5.301 Å; angles 90.00, 90.00, 120.00 degrees
Sites, in units of the cell vectors:
Pm1 0.001 0.239 0.250
Pm2 0.239 0.239 0.750
Pm3 0.239 0.999 0.250
Pm4 0.761 0.001 0.750
Pm5 0.761 0.761 0.250
Pm6 0.999 0.761 0.750
Y1 0.333 0.667 0.250
Y2 0.667 0.333 0.750
Tl1 0.071 0.452 0.750
Tl2 0.381 0.929 0.750
Tl3 0.452 0.381 0.250
Tl4 0.548 0.619 0.750
Tl5 0.619 0.071 0.250
Tl6 0.929 0.548 0.250

---

11.
Entry from Alexandria via LeMat-Bulk: a relaxed structure of Pm5YTl2 (GGA-PBE).

The value obtained for the total DFT energy (no corrections) is -73.15 eV/cell. The formation energy comes out at -203 meV per atom. The density of states at the Fermi level is 1.497 states/eV/atom. The value obtained for the offset from the most stable computed form is 0 meV per atom. For the volume, the calculation gives 30.3 A^3/atom.

Cell lengths 7.011, 14.026, 4.927 Å; angles 90.00, 90.00, 90.00 degrees
Sites, in units of the cell vectors:
Pm1 0.000 0.000 0.000
Pm2 0.007 0.251 0.000
Pm3 0.246 0.875 0.500
Pm4 0.254 0.375 0.500
Pm5 0.493 0.751 0.000
Pm6 0.500 0.500 0.000
Pm7 0.507 0.249 0.000
Pm8 0.746 0.625 0.500
Pm9 0.754 0.125 0.500
Pm10 0.993 0.749 0.000
Y1 0.000 0.500 0.000
Y2 0.500 0.000 0.000
Tl1 0.243 0.623 0.500
Tl2 0.257 0.123 0.500
Tl3 0.743 0.877 0.500
Tl4 0.757 0.377 0.500

---

12.
Entry from Alexandria via LeMat-Bulk: a relaxed structure of Pm9Y4Tl11 (GGA-PBE).

The value obtained for the total DFT energy (no corrections) is -102.00 eV/cell. The formation energy comes out at -306 meV per atom. The density of states at the Fermi level is 1.054 states/eV/atom. For the volume, the calculation gives 29.1 A^3/atom.

Cell lengths 14.046, 14.046, 3.604 Å; angles 90.00, 90.00, 101.11 degrees
Sites, in units of the cell vectors:
Pm1 0.000 0.000 0.000
Pm2 0.124 0.642 0.000
Pm3 0.293 0.467 0.000
Pm4 0.358 0.876 0.000
Pm5 0.467 0.293 0.000
Pm6 0.533 0.707 0.000
Pm7 0.642 0.124 0.000
Pm8 0.707 0.533 0.000
Pm9 0.876 0.358 0.000
Y1 0.068 0.237 0.000
Y2 0.237 0.068 0.000
Y3 0.763 0.932 0.000
Y4 0.932 0.763 0.000
Tl1 0.083 0.432 0.500
Tl2 0.135 0.865 0.500
Tl3 0.263 0.263 0.500
Tl4 0.329 0.671 0.500
Tl5 0.432 0.083 0.500
Tl6 0.500 0.500 0.500
Tl7 0.568 0.917 0.500
Tl8 0.671 0.329 0.500
Tl9 0.737 0.737 0.500
Tl10 0.865 0.135 0.500
Tl11 0.917 0.568 0.500